TlAgBr2 | GGA-PBE | relaxed

a b c (Å): 5.879 5.879 5.879
angles (deg): 137.38 110.34 85.21
Atoms (fractional coordinates):
Tl1 0.750 0.250 0.500
Br1 0.043 0.043 0.000
Br2 0.457 0.457 0.000
Ag1 0.250 0.750 0.500

Calculated values
E_form (uncorrected)   -508 meV/atom
Total magnetic moment   0.0 μB per cell
Final energy   -2.649 eV per atom
SG   No. 71

---

TlAgBr2 | GGA-PBE | relaxed

a b c (Å): 5.385 5.385 5.385
angles (deg): 60.00 60.00 60.00
Atoms (fractional coordinates):
Tl1 0.750 0.750 0.750
Br1 0.000 0.000 0.000
Br2 0.250 0.250 0.250
Ag1 0.500 0.500 0.500

Calculated values
E_form (uncorrected)   -132 meV/atom
Total magnetic moment   0.0 μB per cell
Final energy   -2.273 eV per atom
SG   No. 216

---

Tl2Ag2Br | GGA-PBE | relaxed

a b c (Å): 8.707 8.707 3.513
angles (deg): 90.00 90.00 90.00
Atoms (fractional coordinates):
Tl1 0.310 0.810 0.000
Tl2 0.810 0.690 0.000
Tl3 0.690 0.190 0.000
Tl4 0.190 0.310 0.000
Br1 0.000 0.000 0.000
Br2 0.500 0.500 0.000
Ag1 0.111 0.611 0.500
Ag2 0.611 0.889 0.500
Ag3 0.889 0.389 0.500
Ag4 0.389 0.111 0.500

Calculated values
E_form (uncorrected)   0 meV/atom
Total magnetic moment   0.0 μB per cell
Final energy   -2.421 eV per atom
Energy above the lowest structure with this stoichiometry   0.129 eV per atom
SG   No. 127

---

Look up the final energy of the third one.
-2.421 eV per atom

---

What is the formula in the first record?
TlAgBr2